No. 1
# Hg2RhAu2, optimized geometry, DFT PBE
data_Hg2RhAu2
_space_group_name_H-M_alt 'P 4/m b m'
_space_group_IT_number 127
_space_group_name_Hall '-P 4 2ab'
_cell_length_a 7.2082
_cell_length_b 7.2082
_cell_length_c 3.8483
_cell_angle_alpha 90.00
_cell_angle_beta 90.00
_cell_angle_gamma 90.00
loop_
_atom_site_label
_atom_site_fract_x
_atom_site_fract_y
_atom_site_fract_z
_atom_site_occupancy
Hg1 0.1706 0.3294 0.0000 1
Rh1 0.0000 0.0000 0.5000 1
Au1 0.1353 0.6353 0.5000 1
# Energy: -2.5921 eV/atom
# ΔE_f: 0.310 eV per atom


No. 2
# Sr3H2, optimized geometry, DFT PBE
data_Sr3H2
_space_group_name_H-M_alt 'R -3 c'
_space_group_IT_number 167
_space_group_name_Hall '-R 3 2"c'
_cell_length_a 7.0228
_cell_length_b 7.0228
_cell_length_c 19.4622
_cell_angle_alpha 90.00
_cell_angle_beta 90.00
_cell_angle_gamma 120.00
loop_
_atom_site_label
_atom_site_fract_x
_atom_site_fract_y
_atom_site_fract_z
_atom_site_occupancy
Sr1 0.0000 0.3204 0.2500 1
H1 0.0000 0.0000 0.1717 1
# Energy: -2.5474 eV/atom
# Offset from the most stable computed form: 0.034 eV/atom